No. 1
BIrAu2: optimized geometry, PBE.

Total magnetic moment = 0.0 μB per cell
Crystal system = tetragonal
E_tot = -4.36 eV/atom
Energy of formation from the pure elements = 1.17 eV/atom

Structure (POSCAR):
```
BIrAu2
1.0
5.006 0.000 0.000
0.000 5.006 0.000
0.000 0.000 12.126
B Ir Au
4 4 8
direct
0.000 0.000 0.000
0.000 0.500 0.250
0.500 0.000 0.750
0.500 0.500 0.500
0.000 0.000 0.500
0.000 0.500 0.750
0.500 0.000 0.250
0.500 0.500 0.000
0.162 0.250 0.125
0.250 0.662 0.375
0.250 0.838 0.875
0.338 0.250 0.625
0.662 0.750 0.625
0.750 0.162 0.875
0.750 0.338 0.375
0.838 0.750 0.125
```

---

No. 2
Er6CO12: optimized geometry, PBE.

Total magnetic moment = 2.0 μB per cell
Crystal system = trigonal
Formation energy (no corrections) = -49.48 eV per formula unit
E_tot = -7.66 eV/atom

Structure (POSCAR):
```
Er6CO12
1.0
4.782 2.761 3.029
-4.782 2.761 3.029
0.000 -5.522 3.029
Er C O
6 1 12
direct
0.106 0.643 0.804
0.196 0.894 0.357
0.357 0.196 0.894
0.643 0.804 0.106
0.804 0.106 0.643
0.894 0.357 0.196
0.500 0.500 0.500
0.060 0.324 0.903
0.097 0.940 0.676
0.234 0.524 0.436
0.324 0.903 0.060
0.436 0.234 0.524
0.476 0.564 0.766
0.524 0.436 0.234
0.564 0.766 0.476
0.676 0.097 0.940
0.766 0.476 0.564
0.903 0.060 0.324
0.940 0.676 0.097
```

---

Look up the E_tot of the second one. -7.66 eV/atom